1.
# RbBa2GaSi | Alexandria via LeMat-Bulk | PBE | optimized geometry
# - Calculated density: 3.5 Mg/m³
# - D(E_F): 0.49 states/eV/atom
# - Formation energy (no corrections): 0.12 eV/atom
# - Space group: P4/mmm
data_RbBa2GaSi
_chemical_formula_sum 'Rb1 Ba2 Ga1 Si1'
_space_group_name_H-M_alt 'P 1'
_space_group_IT_number 1
_space_group_name_Hall 'P 1'
_cell_length_a 6.5414
_cell_length_b 5.0768
_cell_length_c 6.5414
_cell_angle_alpha 90.00
_cell_angle_beta 90.00
_cell_angle_gamma 90.00
loop_
_atom_site_label
_atom_site_type_symbol
_atom_site_fract_x
_atom_site_fract_y
_atom_site_fract_z
Rb1 Rb 0.5000 0.5000 0.5000
Ba1 Ba 0.5000 0.0000 0.0000
Ba2 Ba 0.0000 0.0000 0.5000
Si1 Si 0.0000 0.5000 0.0000
Ga1 Ga 0.0000 0.0000 0.0000

=====

2.
# RbBaGa2Si | Alexandria via LeMat-Bulk | PBE | optimized geometry
# - Calculated density: 2.8 Mg/m³
# - D(E_F): 1.01 states/eV/atom
# - Formation energy (no corrections): 0.73 eV/atom
# - Space group: P4/mmm
data_RbBaGa2Si
_chemical_formula_sum 'Rb1 Ba1 Ga2 Si1'
_space_group_name_H-M_alt 'P 1'
_space_group_IT_number 1
_space_group_name_Hall 'P 1'
_cell_length_a 6.2361
_cell_length_b 5.8535
_cell_length_c 6.2361
_cell_angle_alpha 90.00
_cell_angle_beta 90.00
_cell_angle_gamma 90.00
loop_
_atom_site_label
_atom_site_type_symbol
_atom_site_fract_x
_atom_site_fract_y
_atom_site_fract_z
Ga1 Ga 0.5000 0.0000 0.0000
Ga2 Ga 0.0000 0.0000 0.5000
Rb1 Rb 0.5000 0.5000 0.5000
Si1 Si 0.0000 0.5000 0.0000
Ba1 Ba 0.0000 0.0000 0.0000

=====

Question: D(E_F) of number 2 (RbBaGa2Si)?
Answer: 1.01 states/eV/atom